1.
Material: SmPaZnRh
Method: DFT, PBE
State: relaxed

## Properties
ΔH_f (0 K) = -269 meV per atom
DOS at the Fermi energy = 6.6 states/eV per cell
DFT total energy = -5.979 eV/atom
Magnetization = 0.00 μB per formula unit

Cell: 4.9836 4.9836 4.9836 Å, 60.00 60.00 60.00°
Element x y z (fractional)
Sm (0.0000, 0.0000, 0.0000)
Pa (0.5000, 0.5000, 0.5000)
Zn (0.2500, 0.2500, 0.2500)
Rh (0.7500, 0.7500, 0.7500)

2.
Material: AlVTcBi2
Method: DFT, PBE
State: relaxed

## Properties
ΔH_f (0 K) = 945 meV per atom
DOS at the Fermi energy = 4.7 states/eV per cell
DFT total energy = -5.253 eV/atom
Magnetization = 1.09 μB per formula unit

Cell: 5.2788 5.2788 4.5071 Å, 90.00 90.00 90.00°
Element x y z (fractional)
Al (0.0000, 0.0000, 0.0000)
V (0.5000, 0.5000, 0.5000)
Tc (0.5000, 0.5000, 0.0000)
Bi (0.0000, 0.5000, 0.5000)
Bi (0.5000, 0.0000, 0.5000)

3.
Material: ZnPbW2
Method: DFT, PBE
State: relaxed

## Properties
ΔH_f (0 K) = 928 meV per atom
DOS at the Fermi energy = 3.4 states/eV per cell
DFT total energy = -6.794 eV/atom
Magnetization = 0.00 μB per formula unit
Energy above the most stable polymorph in this dataset = 0.420 eV/atom

Cell: 3.9501 3.9501 4.5636 Å, 90.00 90.00 90.00°
Element x y z (fractional)
Zn (0.0000, 0.0000, 0.0000)
Pb (0.5000, 0.5000, 0.0000)
W (0.0000, 0.5000, 0.5000)
W (0.5000, 0.0000, 0.5000)

4.
Material: KTiTlBr6
Method: DFT, PBE
State: relaxed

## Properties
Formation energy without anion corrections = -1.20 eV/atom
DFT total energy = -3.579 eV/atom
Magnetization = 0.00 μB per formula unit

Cell: 7.7561 7.7561 6.5756 Å, 90.02 90.02 120.25°
Element x y z (fractional)
K (0.0000, 0.0000, 0.0000)
Ti (0.6673, 0.3327, 0.0000)
Tl (0.3338, 0.6662, 0.5000)
Br (0.4011, 0.0641, 0.7757)
Br (0.4032, 0.3346, 0.2259)
Br (0.6654, 0.5968, 0.7741)
Br (0.6655, 0.0661, 0.2256)
Br (0.9339, 0.3345, 0.7744)
Br (0.9359, 0.5989, 0.2243)

5.
Material: Pm4Dy4In
Method: DFT, PBE
State: relaxed

## Properties
ΔH_f (0 K) = -74 meV per atom
DOS at the Fermi energy = 12.6 states/eV per cell
DFT total energy = -4.535 eV/atom
Magnetization = 0.00 μB per formula unit

Cell: 7.9704 7.9704 7.9704 Å, 95.54 95.54 143.79°
Element x y z (fractional)
Pm (0.0000, 0.3329, 0.3329)
Pm (0.0000, 0.6671, 0.6671)
Pm (0.3329, 0.0000, 0.3329)
Pm (0.6671, 0.0000, 0.6671)
Dy (0.3393, 0.3393, 0.6787)
Dy (0.3393, 0.6607, 0.0000)
Dy (0.6607, 0.3393, 0.0000)
Dy (0.6607, 0.6607, 0.3213)
In (0.0000, 0.0000, 0.0000)

6.
Material: LaY2Tl
Method: DFT, PBE
State: relaxed

## Properties
ΔH_f (0 K) = -157 meV per atom
DOS at the Fermi energy = 11.1 states/eV per cell
DFT total energy = -5.212 eV/atom
Magnetization = 0.00 μB per formula unit
Energy above the most stable polymorph in this dataset = 0.039 eV/atom

Cell: 5.8508 5.7916 7.2647 Å, 90.00 90.27 90.00°
Element x y z (fractional)
La (0.2370, 0.2500, 0.2283)
La (0.7630, 0.7500, 0.7717)
Y (0.2241, 0.2500, 0.7119)
Y (0.2873, 0.7500, 0.9995)
Y (0.7127, 0.2500, 0.0005)
Y (0.7759, 0.7500, 0.2881)
Tl (0.2717, 0.7500, 0.4999)
Tl (0.7283, 0.2500, 0.5001)

7.
Material: KNa2ZnH
Method: DFT, PBE
State: relaxed

## Properties
DOS at the Fermi energy = 3.5 states/eV per cell
DFT total energy = -1.577 eV/atom
Magnetization = 0.40 μB per formula unit

Cell: 4.9335 4.9335 5.3626 Å, 90.00 90.00 90.00°
Element x y z (fractional)
K (0.0000, 0.0000, 0.0000)
Na (0.0000, 0.5000, 0.5000)
Na (0.5000, 0.0000, 0.5000)
Zn (0.5000, 0.5000, 0.0000)
H (0.0000, 0.0000, 0.5000)

8.
Material: Nd2Ga8Pt
Method: DFT, PBE
State: relaxed

## Properties
ΔH_f (0 K) = -559 meV per atom
DOS at the Fermi energy = 4.6 states/eV per cell
DFT total energy = -4.177 eV/atom
Magnetization = 0.00 μB per formula unit

Cell: 4.4035 4.4035 11.3937 Å, 90.00 90.00 90.00°
Element x y z (fractional)
Nd (0.0000, 0.0000, 0.1928)
Nd (0.0000, 0.0000, 0.8072)
Ga (0.0000, 0.5000, 0.0000)
Ga (0.0000, 0.5000, 0.3776)
Ga (0.0000, 0.5000, 0.6224)
Ga (0.5000, 0.0000, 0.0000)
Ga (0.5000, 0.0000, 0.3776)
Ga (0.5000, 0.0000, 0.6224)
Ga (0.5000, 0.5000, 0.1934)
Ga (0.5000, 0.5000, 0.8066)
Pt (0.0000, 0.0000, 0.5000)